! SrLaAlO4 (PBE, optimized geometry); values from VASP
&SYSTEM
  ibrav = 0, nat = 7, ntyp = 4
/
ATOMIC_SPECIES
Sr 87.62 Sr.upf
La 138.91 La.upf
Al 26.98 Al.upf
O 16.00 O.upf
CELL_PARAMETERS angstrom
6.834 0.004 0.000
4.723 4.938 0.000
-5.778 -2.471 2.683
ATOMIC_POSITIONS angstrom
Sr 7.428 3.176 0.000
La 4.139 1.770 0.000
Al 0.056 0.024 0.000
O 9.698 4.147 0.000
O 1.894 0.810 0.000
O 6.255 1.216 1.342
O 5.200 3.683 1.342
! formation energy (no corrections): -3.15 eV per atom